# 1
PmBOs PBE-GGA relaxed; calculated formation energy = -0.04 eV per atom; energy above the lowest structure with this stoichiometry = 245.5 meV per atom; V = 221.7 Å³ per cell; symmetry = Pnma
1.0
-0.426 -2.832 -1.406
0.560 -3.187 6.248
-9.755 0.823 1.295
Pm Os B
4 4 4
Cartesian
-6.304 -2.063 4.253
-3.316 -3.133 1.884
-1.469 -4.859 4.800
-8.151 -0.337 1.337
-0.795 -1.520 1.493
-8.825 -3.675 4.644
-3.705 -2.845 5.040
-5.915 -2.351 1.096
-9.377 -1.649 4.349
-4.487 -4.759 5.512
-5.133 -0.437 0.624
-0.243 -3.547 1.788


# 2
HoZnAgSn PBE-GGA relaxed; calculated formation energy = -0.29 eV per atom; V = 85.1 Å³ per cell; symmetry = F-43m
1.0
-4.443 0.584 -2.074
-3.830 -2.694 1.568
-3.650 2.143 2.543
Zn Ho Sn Ag
1 1 1 1
Cartesian
0.000 0.000 0.000
-8.942 0.025 1.527
-2.981 0.008 0.509
-5.961 0.017 1.018